# 1
PuIn2Hg | PBE | optimized geometry

E_form	-0.030	eV/atom
Fermi-level density of states	12.33	states/eV/f.u.
calculated total energy	-5.06	eV per atom
E above lowest polymorph	0.1217	eV per atom

a = 7.4201 Å, b = 7.4201 Å, c = 7.4201 Å
α = 90.00°, β = 90.00°, γ = 90.00°
With the nearest neighbours (Å) after each atom.
Element x y z (fractional)
Pu 0.0000 0.0000 0.0000  8 In 3.21
Pu 0.0000 0.5000 0.5000  8 In 3.21
Pu 0.5000 0.0000 0.5000  8 In 3.21
Pu 0.5000 0.5000 0.0000  8 In 3.21
In 0.2500 0.2500 0.2500  4 Pu 3.21, 4 Hg 3.21
In 0.2500 0.2500 0.7500  4 Hg 3.21, 4 Pu 3.21
In 0.2500 0.7500 0.2500  4 Hg 3.21, 4 Pu 3.21
In 0.2500 0.7500 0.7500  4 Pu 3.21, 4 Hg 3.21
In 0.7500 0.2500 0.2500  4 Hg 3.21, 4 Pu 3.21
In 0.7500 0.2500 0.7500  4 Pu 3.21, 4 Hg 3.21
In 0.7500 0.7500 0.2500  4 Pu 3.21, 4 Hg 3.21
In 0.7500 0.7500 0.7500  4 Hg 3.21, 4 Pu 3.21
Hg 0.0000 0.0000 0.5000  8 In 3.21
Hg 0.0000 0.5000 0.0000  8 In 3.21
Hg 0.5000 0.0000 0.0000  8 In 3.21
Hg 0.5000 0.5000 0.5000  8 In 3.21

# 2
ZnNiPt14 | PBE | optimized geometry

E_form	-0.074	eV/atom
Fermi-level density of states	27.77	states/eV/f.u.
calculated total energy	-5.80	eV per atom

a = 9.2251 Å, b = 5.5512 Å, c = 5.5512 Å
α = 60.13°, β = 90.00°, γ = 90.00°
With the nearest neighbours (Å) after each atom.
Element x y z (fractional)
Zn 0.0000 0.0000 0.0000  10 Pt 2.74-2.78, 2 Ni 2.78
Ni 0.0000 0.4993 0.4993  10 Pt 2.74-2.79, 2 Zn 2.78
Pt 0.0000 0.0015 0.5003  8 Pt 2.75-2.79, 2 Ni 2.76-2.79, 2 Zn 2.77-2.78
Pt 0.0000 0.5003 0.0015  8 Pt 2.75-2.79, 2 Ni 2.76-2.79, 2 Zn 2.77-2.78
Pt 0.2407 0.3324 0.8312  1 Ni 2.74, 1 Zn 2.74, 10 Pt 2.75-2.88
Pt 0.2407 0.8312 0.3324  1 Ni 2.74, 1 Zn 2.74, 10 Pt 2.75-2.88
Pt 0.2447 0.3345 0.3345  11 Pt 2.75-2.86, 1 Ni 2.76
Pt 0.2459 0.8338 0.8338  11 Pt 2.76-2.85, 1 Zn 2.77
Pt 0.5000 0.1658 0.1658  12 Pt 2.77-2.88
Pt 0.5000 0.1662 0.6662  12 Pt 2.77-2.87
Pt 0.5000 0.6662 0.1662  12 Pt 2.77-2.87
Pt 0.5000 0.6656 0.6656  12 Pt 2.77-2.88
Pt 0.7541 0.8338 0.8338  11 Pt 2.76-2.85, 1 Zn 2.77
Pt 0.7553 0.3345 0.3345  11 Pt 2.75-2.86, 1 Ni 2.76
Pt 0.7593 0.3324 0.8312  1 Ni 2.74, 1 Zn 2.74, 10 Pt 2.75-2.88
Pt 0.7593 0.8312 0.3324  1 Ni 2.74, 1 Zn 2.74, 10 Pt 2.75-2.88

# 3
Fe2HgSe | PBE | optimized geometry

Fermi-level density of states	2.88	states/eV/f.u.
calculated total energy	-5.03	eV per atom
formation energy from raw total energies	0.1508	eV/atom

a = 3.1160 Å, b = 3.1160 Å, c = 7.2230 Å
α = 90.00°, β = 90.00°, γ = 90.00°
With the nearest neighbours (Å) after each atom.
Element x y z (fractional)
Fe 0.0000 0.0000 0.0000  4 Se 2.50, 4 Fe 2.55
Fe 0.5000 0.5000 0.1784  1 Se 2.47, 4 Fe 2.55
Hg 0.0000 0.0000 0.4165  5 Fe 2.80-3.01, 4 Hg 3.12
Se 0.5000 0.5000 0.8368  5 Fe 2.47-2.50

# 4
MnCoMoPt | PBE | optimized geometry

E_form	-0.013	eV/atom
Fermi-level density of states	4.91	states/eV/f.u.
calculated total energy	-8.30	eV per atom

a = 6.0060 Å, b = 6.0060 Å, c = 6.0060 Å
α = 90.00°, β = 90.00°, γ = 90.00°
With the nearest neighbours (Å) after each atom.
Element x y z (fractional)
Mn 0.0000 0.0000 0.0000  4 Pt 2.60, 4 Mo 2.60
Mn 0.0000 0.5000 0.5000  4 Pt 2.60, 4 Mo 2.60
Mn 0.5000 0.0000 0.5000  4 Pt 2.60, 4 Mo 2.60
Mn 0.5000 0.5000 0.0000  4 Pt 2.60, 4 Mo 2.60
Co 0.0000 0.0000 0.5000  4 Mo 2.60, 4 Pt 2.60
Co 0.0000 0.5000 0.0000  4 Mo 2.60, 4 Pt 2.60
Co 0.5000 0.0000 0.0000  4 Mo 2.60, 4 Pt 2.60
Co 0.5000 0.5000 0.5000  4 Mo 2.60, 4 Pt 2.60
Mo 0.2500 0.2500 0.2500  4 Mn 2.60, 4 Co 2.60
Mo 0.2500 0.7500 0.7500  4 Mn 2.60, 4 Co 2.60
Mo 0.7500 0.2500 0.7500  4 Mn 2.60, 4 Co 2.60
Mo 0.7500 0.7500 0.2500  4 Mn 2.60, 4 Co 2.60
Pt 0.2500 0.2500 0.7500  4 Co 2.60, 4 Mn 2.60
Pt 0.2500 0.7500 0.2500  4 Co 2.60, 4 Mn 2.60
Pt 0.7500 0.2500 0.2500  4 Co 2.60, 4 Mn 2.60
Pt 0.7500 0.7500 0.7500  4 Mn 2.60, 4 Co 2.60

# 5
AlFeAs2 | PBE | optimized geometry

E_form	0.006	eV/atom
Fermi-level density of states	1.94	states/eV/f.u.
calculated total energy	-5.37	eV per atom

a = 7.9709 Å, b = 3.0547 Å, c = 6.2638 Å
α = 90.00°, β = 108.76°, γ = 90.00°
With the nearest neighbours (Å) after each atom.
Element x y z (fractional)
Al 0.0000 0.0000 0.0000  5 As 2.44-2.62, 3 Fe 2.47-2.55
Al 0.5000 0.5000 0.0000  5 As 2.44-2.62, 3 Fe 2.47-2.55
Fe 0.2649 0.5000 0.1780  5 As 2.44-2.65, 3 Al 2.47-2.55
Fe 0.7649 0.0000 0.1780  5 As 2.44-2.65, 3 Al 2.47-2.55
As 0.0108 0.5000 0.3439  3 Fe 2.44-2.56, 2 Al 2.62
As 0.2294 0.0000 0.8199  3 Al 2.44-2.59, 2 Fe 2.65
As 0.5108 0.0000 0.3439  3 Fe 2.44-2.56, 2 Al 2.62
As 0.7294 0.5000 0.8199  3 Al 2.44-2.59, 2 Fe 2.65

# 6
Pr6Nd3SmHo2 | PBE | optimized geometry

E_form	0.014	eV/atom
Fermi-level density of states	16.76	states/eV/f.u.
calculated total energy	-4.72	eV per atom

a = 6.3681 Å, b = 6.3681 Å, c = 12.1033 Å
α = 95.03°, β = 95.03°, γ = 120.02°
With the nearest neighbours (Å) after each atom.
Element x y z (fractional)
Pr 0.0831 0.4172 0.7535  2 Ho 3.62, 1 Sm 3.63, 6 Pr 3.67-3.68, 3 Nd 3.69-3.70
Pr 0.2489 0.2489 0.2465  2 Ho 3.62, 1 Sm 3.62, 6 Pr 3.67-3.68, 3 Nd 3.69
Pr 0.4172 0.0831 0.7535  2 Ho 3.62, 1 Sm 3.63, 6 Pr 3.67-3.68, 3 Nd 3.69-3.70
Pr 0.5828 0.9169 0.2465  2 Ho 3.62, 1 Sm 3.63, 6 Pr 3.67-3.68, 3 Nd 3.69-3.70
Pr 0.7511 0.7511 0.7535  2 Ho 3.62, 1 Sm 3.62, 6 Pr 3.67-3.68, 3 Nd 3.69
Pr 0.9169 0.5828 0.2465  2 Ho 3.62, 1 Sm 3.63, 6 Pr 3.67-3.68, 3 Nd 3.69-3.70
Nd 0.0000 0.0000 0.5000  6 Nd 3.68, 6 Pr 3.69
Nd 0.3332 0.6668 0.5000  6 Nd 3.67-3.68, 6 Pr 3.69-3.70
Nd 0.6668 0.3332 0.5000  6 Nd 3.67-3.68, 6 Pr 3.69-3.70
Sm 0.5000 0.5000 0.0000  6 Pr 3.62-3.63, 6 Ho 3.68
Ho 0.1666 0.8334 0.0000  6 Pr 3.62, 3 Ho 3.67-3.68, 3 Sm 3.68
Ho 0.8334 0.1666 0.0000  6 Pr 3.62, 3 Ho 3.67-3.68, 3 Sm 3.68

# 7
BaLaNd2Tl4 | PBE | optimized geometry

E_form	-0.344	eV/atom
Fermi-level density of states	7.65	states/eV/f.u.
calculated total energy	-3.58	eV per atom

a = 9.8746 Å, b = 9.8746 Å, c = 9.8746 Å
α = 33.45°, β = 33.45°, γ = 33.45°
With the nearest neighbours (Å) after each atom.
Element x y z (fractional)
Ba 0.0000 0.0000 0.0000  8 Tl 3.53-3.59
La 0.5000 0.5000 0.5000  8 Tl 3.36-3.45
Nd 0.2516 0.2516 0.2516  8 Tl 3.43-3.59
Nd 0.7484 0.7484 0.7484  8 Tl 3.43-3.59
Tl 0.1284 0.1284 0.1284  4 Nd 3.44-3.53, 3 La 3.45, 1 Ba 3.59
Tl 0.3799 0.3799 0.3799  1 La 3.36, 4 Nd 3.43-3.59, 3 Ba 3.53
Tl 0.6201 0.6201 0.6201  1 La 3.36, 4 Nd 3.43-3.59, 3 Ba 3.53
Tl 0.8716 0.8716 0.8716  4 Nd 3.44-3.53, 3 La 3.45, 1 Ba 3.59

# 8
NaHg2I4 | PBE | optimized geometry

Fermi-level density of states	3.15	states/eV/f.u.
calculated total energy	-1.60	eV per atom
formation energy from raw total energies	-0.4439	eV/atom

a = 7.2524 Å, b = 7.2524 Å, c = 6.1186 Å
α = 90.00°, β = 90.00°, γ = 90.00°
With the nearest neighbours (Å) after each atom.
Element x y z (fractional)
Na 0.0000 0.0000 0.0000  4 I 3.09
Hg 0.0000 0.5000 0.5000  4 I 2.99
Hg 0.5000 0.0000 0.5000  4 I 2.99
I 0.2617 0.2617 0.2505  2 Hg 2.99, 1 Na 3.09
I 0.2617 0.7383 0.7495  2 Hg 2.99, 1 Na 3.09
I 0.7383 0.2617 0.7495  2 Hg 2.99, 1 Na 3.09
I 0.7383 0.7383 0.2505  2 Hg 2.99, 1 Na 3.09

# 9
Sr2GaBr | PBE | optimized geometry

Fermi-level density of states	1.79	states/eV/f.u.
calculated total energy	-2.92	eV per atom
formation energy from raw total energies	-0.9078	eV/atom
E above lowest polymorph	0.1036	eV per atom

a = 4.2812 Å, b = 4.2812 Å, c = 26.2428 Å
α = 90.00°, β = 90.00°, γ = 120.00°
With the nearest neighbours (Å) after each atom.
Element x y z (fractional)
Sr 0.0000 0.0000 0.0000  3 Ga 3.21, 3 Br 3.35
Sr 0.0000 0.0000 0.1776  3 Ga 3.21, 3 Br 3.44
Sr 0.3333 0.6667 0.6667  3 Ga 3.21, 3 Br 3.35
Sr 0.3333 0.6667 0.8443  3 Ga 3.21, 3 Br 3.44
Sr 0.6667 0.3333 0.3333  3 Ga 3.21, 3 Br 3.35
Sr 0.6667 0.3333 0.5110  3 Ga 3.21, 3 Br 3.44
Ga 0.0000 0.0000 0.5889  6 Sr 3.21
Ga 0.3333 0.6667 0.2555  6 Sr 3.21
Ga 0.6667 0.3333 0.9222  6 Sr 3.21
Br 0.0000 0.0000 0.4198  6 Sr 3.35-3.44
Br 0.3333 0.6667 0.0864  6 Sr 3.35-3.44
Br 0.6667 0.3333 0.7531  6 Sr 3.35-3.44

# 10
Ca6Al2Bi | PBE | optimized geometry

E_form	-0.324	eV/atom
Fermi-level density of states	7.60	states/eV/f.u.
calculated total energy	-2.92	eV per atom

a = 9.1572 Å, b = 9.1572 Å, c = 9.1572 Å
α = 112.91°, β = 111.99°, γ = 103.67°
With the nearest neighbours (Å) after each atom.
Element x y z (fractional)
Ca 0.0312 0.2416 0.7895  2 Al 3.15-3.38, 1 Bi 3.48
Ca 0.1857 0.2730 0.4587  3 Al 3.25-3.31, 1 Bi 3.35
Ca 0.1857 0.7270 0.9128  3 Al 3.25-3.31, 1 Bi 3.35
Ca 0.3254 0.0290 0.7037  3 Al 3.16-3.18
Ca 0.3254 0.6217 0.2963  3 Al 3.16-3.18
Ca 0.4521 0.2416 0.2105  2 Al 3.15-3.38, 1 Bi 3.48
Ca 0.5479 0.7584 0.7895  2 Al 3.15-3.38, 1 Bi 3.48
Ca 0.6746 0.3783 0.7037  3 Al 3.16-3.18
Ca 0.6746 0.9710 0.2963  3 Al 3.16-3.18
Ca 0.8143 0.2730 0.0872  3 Al 3.25-3.31, 1 Bi 3.35
Ca 0.8143 0.7270 0.5413  3 Al 3.25-3.31, 1 Bi 3.35
Ca 0.9688 0.7584 0.2105  2 Al 3.15-3.38, 1 Bi 3.48
Al 0.1143 0.6143 0.5000  1 Al 2.59
Al 0.3630 0.0000 0.3630  1 Al 2.81
Al 0.6370 0.0000 0.6370  1 Al 2.81
Al 0.8857 0.3857 0.5000  1 Al 2.59
Bi 0.0000 0.0000 0.0000  8 Ca 3.35-3.48, 2 Al 3.72
Bi 0.5000 0.5000 0.0000  12 Ca 3.59-3.95